5
Lattice="4.834 0.000 0.000 0.000 4.834 0.000 0.000 0.000 4.834" Properties=species:S:1:pos:R:3 comment="BeAlHg3 (PBE-GGA, relaxed)" energy_ev_per_atom=-1.31 magnetic_moment_mub_per_fu=0.00 dos_at_fermi_per_ev_atom=0.33 pbc="T T T"
Be 0.000 0.000 0.000
Al 2.417 2.417 2.417
Hg 0.000 0.000 2.417
Hg 0.000 2.417 0.000
Hg 2.417 0.000 0.000